Record 1
La12In4SnN3: optimized geometry, GGA-PBE.

```
20
Lattice="-1.372 -8.655 3.004 8.197 3.061 3.042 -6.733 5.489 3.216" Properties=species:S:1:pos:R:3 pbc="T T T"
In 4.098 1.531 1.521
La 1.899 -1.556 1.682
La -5.850 -2.285 4.490
La -1.295 3.484 4.684
La -2.255 -0.881 1.731
La -3.687 0.555 4.675
La 2.438 2.877 4.641
N 0.732 4.275 3.129
La 4.926 -4.037 4.364
La 1.386 -3.588 4.578
La 3.778 -0.659 4.587
In 0.046 -0.052 4.631
N 3.412 -2.797 3.023
In -0.686 -4.327 1.502
La 0.407 2.379 1.741
N -4.053 -1.583 3.110
La -2.346 -2.981 4.622
In -3.367 2.744 1.608
Sn 0.000 0.000 0.000
La 1.056 6.171 4.517
```

- crystal system = cubic
- ρ (g cm⁻³) = 6.21

---

Record 2
La4InSnN: optimized geometry, GGA-PBE.

```
14
Lattice="7.056 0.000 0.000 0.000 7.068 0.000 -3.528 0.000 8.585" Properties=species:S:1:pos:R:3 pbc="T T T"
La 1.764 3.534 4.293
N 0.000 5.301 4.606
La -1.764 0.000 4.293
La 3.528 1.767 1.488
Sn 3.528 5.301 6.686
La -1.764 3.534 4.293
La 0.000 5.301 7.097
La 3.528 1.767 7.241
N 3.528 1.767 3.979
La 1.764 0.000 4.293
Sn 0.000 1.767 1.899
La 0.000 5.301 1.344
In 3.528 5.301 1.916
In 0.000 1.767 6.669
```

- crystal system = orthorhombic
- ρ (g cm⁻³) = 6.23

---

no.,DOS at the Fermi energy (states/eV/f.u.),final energy (eV/atom),E_form (uncorrected) (kcal/mol of atoms)
1,14.6,-5.591,-14.702
2,3.4,-5.765,-18.388